Record 1
Material: CaCuAs2
Method: DFT, meta-GGA SCAN
State: single point on PBEsol structure Values from VASP.

The structure in Quantum ESPRESSO input format:
```
&SYSTEM
  ibrav = 0, nat = 4, ntyp = 3
/
ATOMIC_SPECIES
As 74.92 As.upf
Ca 40.08 Ca.upf
Cu 63.55 Cu.upf
CELL_PARAMETERS angstrom
-2.272 4.063 -0.763
-0.739 1.497 -4.412
-4.359 -0.037 -1.805
ATOMIC_POSITIONS angstrom
As -1.842 1.381 -1.745
Ca 0.000 0.000 0.000
As -5.527 4.142 -5.234
Cu -3.685 2.762 -3.490
```

## Properties
As for the energy relative to the elements: -0.1469 eV/atom.


Record 2
Material: Ca2CuAs2H4O10
Method: DFT, meta-GGA SCAN
State: single point on PBEsol structure Values from VASP.

The structure in Quantum ESPRESSO input format:
```
&SYSTEM
  ibrav = 0, nat = 38, ntyp = 5
/
ATOMIC_SPECIES
O 16.00 O.upf
H 1.01 H.upf
As 74.92 As.upf
Cu 63.55 Cu.upf
Ca 40.08 Ca.upf
CELL_PARAMETERS angstrom
-4.194 -3.026 -2.569
5.024 -3.068 0.082
-3.256 -5.032 11.241
ATOMIC_POSITIONS angstrom
O -3.210 -6.541 10.039
H 0.275 -7.848 6.774
O -3.922 -5.914 3.975
O 0.246 -1.340 1.416
O -2.538 -7.103 7.549
O -0.951 -1.808 3.530
As -1.403 -7.138 1.846
O 2.507 -2.952 0.189
As -1.022 -3.988 6.908
Cu 0.000 0.000 0.000
O -2.594 -2.620 0.680
O 0.784 -4.586 -1.285
Ca -2.131 -7.029 5.213
Ca -0.294 -4.098 3.540
As -3.948 -6.783 8.487
O -4.932 -8.175 8.564
O -2.271 -5.980 0.911
O -0.155 -5.146 7.843
O -0.864 -6.434 3.303
O -1.474 -9.318 5.224
Ca -1.556 -4.320 -0.626
H -2.505 -8.850 7.674
H -2.102 -9.793 6.455
Ca -0.869 -6.806 9.380
H -0.323 -1.333 2.298
O -2.671 -9.786 7.338
Cu -3.725 -4.029 4.336
O 0.169 -8.506 8.074
H 0.283 -6.268 6.571
H -2.700 -3.279 1.980
As 1.523 -4.344 0.267
O -2.602 -4.014 2.723
O 0.177 -7.113 6.030
O -1.561 -4.693 5.450
O 1.497 -5.212 4.778
H 0.080 -2.277 1.080
O 0.113 -4.023 1.204
H -2.708 -4.859 2.183
```


Record 3
Material: CaCuAsO5
Method: DFT, meta-GGA SCAN
State: single point on PBEsol structure Values from VASP.

The structure in Quantum ESPRESSO input format:
```
&SYSTEM
  ibrav = 0, nat = 32, ntyp = 4
/
ATOMIC_SPECIES
O 16.00 O.upf
Ca 40.08 Ca.upf
As 74.92 As.upf
Cu 63.55 Cu.upf
CELL_PARAMETERS angstrom
-2.502 -5.048 0.169
4.692 -2.142 5.495
-6.022 3.198 6.389
ATOMIC_POSITIONS angstrom
O -3.962 -3.952 10.754
O 1.163 -5.022 6.724
O 2.706 -2.751 6.576
O -1.828 1.080 5.725
O -5.622 0.377 7.142
Ca -1.323 -2.541 2.343
As -1.566 -5.279 3.889
O -5.979 -1.635 5.130
Ca -2.791 -4.489 8.767
As -2.905 -1.562 7.599
O -2.609 0.039 8.073
O -3.311 -1.328 5.869
Cu -3.119 0.344 10.553
As -5.776 0.009 5.494
O -2.646 -1.469 10.415
As 2.584 -1.151 7.122
O -0.076 -6.089 4.469
O -4.236 -2.402 8.227
O -3.113 -1.505 3.497
O -0.238 -1.365 4.178
Cu -2.471 -0.213 4.609
Ca -3.706 1.938 6.884
Ca 0.157 -2.892 6.111
O 1.240 -3.606 4.129
O -1.410 -5.022 2.220
O -1.630 0.902 3.353
Cu 1.649 -5.377 4.246
O -1.523 -3.754 4.628
O -4.610 0.924 4.674
O -1.574 -2.608 7.690
Cu -3.721 -2.738 4.697
O 0.943 -0.730 7.052
```

## Properties
Its uncorrected formation energy is -165 kJ/mol of atoms.


Record 4
Material: CaCuAs2O7
Method: DFT, meta-GGA SCAN
State: single point on PBEsol structure Values from VASP.

The structure in Quantum ESPRESSO input format:
```
&SYSTEM
  ibrav = 0, nat = 44, ntyp = 4
/
ATOMIC_SPECIES
O 16.00 O.upf
Ca 40.08 Ca.upf
Cu 63.55 Cu.upf
As 74.92 As.upf
CELL_PARAMETERS angstrom
7.219 0.000 -0.002
0.000 8.928 0.000
-3.069 0.000 8.751
ATOMIC_POSITIONS angstrom
O 6.897 1.051 0.728
O 2.450 6.855 6.156
O 1.700 2.074 2.593
O 1.856 8.240 1.871
O 3.822 1.293 0.913
Ca -1.104 0.583 8.260
O 0.165 2.390 6.969
O -1.213 5.516 3.646
O 5.036 0.779 6.102
Cu 3.568 8.456 5.981
O 1.559 5.680 0.733
Ca 0.431 3.881 3.884
O -0.887 8.149 2.648
Cu 5.103 4.937 1.605
O 5.362 3.413 5.104
As 6.921 2.697 0.384
Cu -0.953 3.992 7.144
Ca 5.254 8.345 0.490
As 3.378 2.142 2.303
As -1.237 7.161 3.990
O 5.973 6.053 0.312
As 2.306 6.606 2.071
O -0.289 1.589 4.062
O 2.288 3.172 5.288
O 1.862 5.757 3.461
O 0.024 7.713 5.108
O 3.828 3.776 2.503
As -2.772 6.232 8.366
Ca 3.719 5.047 4.865
O 2.591 3.248 8.017
O -2.421 5.244 7.023
O -1.823 2.875 8.438
O 0.327 7.636 7.836
O 2.293 0.688 6.879
O 3.985 6.538 1.780
O -2.747 7.877 8.021
O 6.571 3.685 1.726
As 1.844 2.322 6.678
O 4.125 1.216 3.641
As 5.387 1.768 4.759
Cu 0.581 0.473 2.769
O 4.439 7.339 4.687
As 0.771 6.786 6.446
O 0.322 5.152 6.246
```

## Properties
Its uncorrected formation energy is -165 kJ/mol of atoms.


Record 5
Material: RbCaCuAs2
Method: DFT, meta-GGA SCAN
State: single point on PBEsol structure Values from VASP.

The structure in Quantum ESPRESSO input format:
```
&SYSTEM
  ibrav = 0, nat = 5, ntyp = 4
/
ATOMIC_SPECIES
As 74.92 As.upf
Cu 63.55 Cu.upf
Rb 85.47 Rb.upf
Ca 40.08 Ca.upf
CELL_PARAMETERS angstrom
5.393 0.000 0.000
0.000 5.481 0.000
0.000 0.000 5.481
ATOMIC_POSITIONS angstrom
As 0.000 0.000 2.740
As 0.000 2.740 0.000
Cu 2.697 2.740 2.740
Rb 0.000 0.000 0.000
Ca 2.697 0.000 0.000
```

## Properties
As for the energy relative to the elements: 1.5233 eV/atom.


Record 6
Material: CaAs2F12
Method: DFT, meta-GGA SCAN
State: single point on PBEsol structure Values from VASP.

The structure in Quantum ESPRESSO input format:
```
&SYSTEM
  ibrav = 0, nat = 15, ntyp = 3
/
ATOMIC_SPECIES
Ca 40.08 Ca.upf
F 19.00 F.upf
As 74.92 As.upf
CELL_PARAMETERS angstrom
5.425 0.000 0.000
0.000 5.425 0.000
0.000 0.000 7.589
ATOMIC_POSITIONS angstrom
Ca 0.000 0.000 0.000
F 3.993 1.210 5.880
F 2.713 0.000 4.041
F 1.432 1.210 5.880
As 0.000 2.713 1.840
F 4.216 1.432 1.709
F 3.993 4.216 5.880
F 1.432 4.216 5.880
F 0.000 2.713 3.549
As 2.713 0.000 5.750
F 1.210 1.432 1.709
F 1.210 3.993 1.709
F 4.216 3.993 1.709
F 0.000 2.713 0.036
F 2.713 0.000 7.554
```

## Properties
Its uncorrected formation energy is -248 kJ/mol of atoms.


Record 7
Material: CaAsF2
Method: DFT, meta-GGA SCAN
State: single point on PBEsol structure Values from VASP.

The structure in Quantum ESPRESSO input format:
```
&SYSTEM
  ibrav = 0, nat = 4, ntyp = 3
/
ATOMIC_SPECIES
Ca 40.08 Ca.upf
As 74.92 As.upf
F 19.00 F.upf
CELL_PARAMETERS angstrom
-2.250 1.136 -1.965
-1.989 -2.013 -1.485
-6.571 0.227 5.056
ATOMIC_POSITIONS angstrom
Ca 0.000 0.000 0.000
As -5.405 -0.325 0.803
F -5.571 -0.743 -1.847
F -5.239 0.093 3.454
```

## Properties
Its uncorrected formation energy is -119 kJ/mol of atoms.


Record 8
Material: CaAs2F
Method: DFT, meta-GGA SCAN
State: single point on PBEsol structure Values from VASP.

The structure in Quantum ESPRESSO input format:
```
&SYSTEM
  ibrav = 0, nat = 4, ntyp = 3
/
ATOMIC_SPECIES
As 74.92 As.upf
F 19.00 F.upf
Ca 40.08 Ca.upf
CELL_PARAMETERS angstrom
-4.055 -0.100 -2.415
-3.695 -2.404 1.689
-3.777 2.316 1.631
ATOMIC_POSITIONS angstrom
As -2.882 -0.047 0.226
As -8.645 -0.142 0.679
F 0.000 0.000 0.000
Ca -5.764 -0.094 0.453
```

## Properties
Its uncorrected formation energy is -47 kJ/mol of atoms.


Across the entries above, energy takes the values -16.458 -9.706 -11.232 -11.612 -15.673 -8.741 -10.470 -13.882 eV per atom, respectively.